Record 1
VASP calculation (meta-GGA SCAN) on a crystal of CrIr2Ru relaxed with PBEsol.

Results
The total magnetic moment is 0.309 μB per atom. Its formation energy from the elements is -0.210 eV/atom. The density of states at the Fermi level comes out at 0.797 states/eV per atom.

Unit cell a=3.761 b=3.761 c=7.486 alpha=90.00 beta=90.00 gamma=90.00
Space group I-4m2 (No. 119)
One atom of each set of equivalent atoms:
Cr (0.000, 0.000, 0.000) [2 per cell]
Ir (0.000, 0.000, 0.500) [2 per cell]
Ir (0.000, 0.500, 0.250) [2 per cell]
Ru (0.000, 0.500, 0.750) [2 per cell]

***

Record 2
VASP calculation (meta-GGA SCAN) on a crystal of CrIr2Ru relaxed with PBEsol.

Results
The total magnetic moment is 0.308 μB per atom. Its formation energy from the elements is -0.237 eV/atom. The density of states at the Fermi level comes out at 0.842 states/eV per atom.

Unit cell a=3.756 b=3.756 c=7.511 alpha=90.00 beta=90.00 gamma=90.00
Space group I4/mmm (No. 139)
One atom of each set of equivalent atoms:
Cr (0.000, 0.000, 0.000) [2 per cell]
Ir (0.000, 0.500, 0.250) [4 per cell]
Ru (0.000, 0.000, 0.500) [2 per cell]

***

Record 3
VASP calculation (meta-GGA SCAN) on a crystal of CrIrRu2 relaxed with PBEsol.

Results
The total magnetic moment is 0.321 μB per atom. Its formation energy from the elements is -0.007 eV/atom. The density of states at the Fermi level comes out at 1.011 states/eV per atom.

Unit cell a=2.650 b=3.712 c=5.306 alpha=90.00 beta=90.00 gamma=90.00
Space group Pmmm (No. 47)
One atom of each set of equivalent atoms:
Cr (0.000, 0.000, 0.000) [1 per cell]
Ir (0.000, 0.000, 0.500) [1 per cell]
Ru (0.500, 0.500, 0.238) [2 per cell]